[1]
First-principles (PBE) data for a relaxed structure of CaTi2Pt2, as listed in Alexandria.

abc: 7.9911 7.9911 2.8160
angles: 90.00 90.00 90.00
Closest atoms and distances in Å follow each position.
Atoms (fractional coordinates):
Ca 0.0000 0.0000 0.0000  2 Ca 2.82, 4 Ti 3.12
Ca 0.5000 0.5000 0.0000  2 Ca 2.82, 4 Ti 3.12
Ti 0.1336 0.3664 0.0000  6 Pt 2.71-2.75, 3 Ti 2.82-3.02
Ti 0.3664 0.8664 0.0000  6 Pt 2.71-2.75, 3 Ti 2.82-3.02
Ti 0.6336 0.1336 0.0000  6 Pt 2.71-2.75, 3 Ti 2.82-3.02
Ti 0.8664 0.6336 0.0000  6 Pt 2.71-2.75, 3 Ti 2.82-3.02
Pt 0.1612 0.6612 0.5000  6 Ti 2.71-2.75, 2 Pt 2.82
Pt 0.3388 0.1612 0.5000  6 Ti 2.71-2.75, 2 Pt 2.82
Pt 0.6612 0.8388 0.5000  6 Ti 2.71-2.75, 2 Pt 2.82
Pt 0.8388 0.3388 0.5000  6 Ti 2.71-2.75, 2 Pt 2.82

## Properties
Its energy relative to the elements is -0.704 eV/atom. The volume comes out at 179.8 Å³ per cell. As for the crystal system: tetragonal. As for the density of states at the Fermi level: 0.832 states/eV/atom. For the energy above the most stable polymorph in this dataset, the calculation gives 117 meV/atom. Its electronic total energy is -6.68 eV/atom.

[2]
First-principles (PBE) data for a relaxed structure of CaGd2Pa, as listed in Alexandria.

abc: 3.4841 3.4841 10.4913
angles: 90.00 90.00 90.00
Closest atoms and distances in Å follow each position.
Atoms (fractional coordinates):
Ca 0.0000 0.0000 0.0000  4 Ca 3.48, 8 Gd 3.86
Gd 0.5000 0.5000 0.2828  4 Pa 3.36, 4 Gd 3.48
Gd 0.5000 0.5000 0.7172  4 Pa 3.36, 4 Gd 3.48
Pa 0.0000 0.0000 0.5000  8 Gd 3.36, 4 Pa 3.48

## Properties
Its energy relative to the elements is 0.138 eV/atom. The volume comes out at 127.4 Å³ per cell. As for the crystal system: tetragonal. As for the density of states at the Fermi level: 1.615 states/eV/atom. For the energy above the most stable polymorph in this dataset, the calculation gives 0 meV/atom. Its electronic total energy is -9.78 eV/atom.

[3]
First-principles (PBE) data for a relaxed structure of TcS, as listed in Alexandria.

abc: 7.9696 3.0172 5.2524
angles: 90.00 90.46 90.00
Closest atoms and distances in Å follow each position.
Atoms (fractional coordinates):
Tc 0.0000 0.0000 0.0000  4 S 2.27-2.41
Tc 0.1949 0.5000 0.3418  5 S 2.41-2.62
Tc 0.5000 0.5000 0.0000  4 S 2.27-2.41
Tc 0.6949 0.0000 0.3418  5 S 2.41-2.62
S 0.2844 0.0000 0.0123  5 Tc 2.27-2.41
S 0.4976 0.5000 0.5417  4 Tc 2.41-2.62
S 0.7844 0.5000 0.0123  5 Tc 2.27-2.41
S 0.9976 0.0000 0.5417  4 Tc 2.41-2.62

## Properties
As for the energy relative to the elements, uncorrected: -0.4 eV per formula unit. The volume comes out at 126.3 Å³ per cell. As for the crystal system: monoclinic. As for the density of states at the Fermi level: 0.720 states/eV/atom. For the energy above the most stable polymorph in this dataset, the calculation gives 196 meV/atom. Its electronic total energy is -7.44 eV/atom.

[4]
First-principles (PBE) data for a relaxed structure of TmPu4In15, as listed in Alexandria.

abc: 4.5971 4.5971 23.1493
angles: 90.00 90.00 90.00
Closest atoms and distances in Å follow each position.
Atoms (fractional coordinates):
Tm 0.0000 0.0000 0.0000  12 In 3.25-3.26
Pu 0.0000 0.0000 0.1986  12 In 3.24-3.28
Pu 0.0000 0.0000 0.3997  12 In 3.25-3.27
Pu 0.0000 0.0000 0.6003  12 In 3.25-3.27
Pu 0.0000 0.0000 0.8014  12 In 3.24-3.28
In 0.0000 0.5000 0.1001  2 Pu 3.24, 8 In 3.25-3.27, 2 Tm 3.26
In 0.0000 0.5000 0.2996  8 In 3.25-3.26, 4 Pu 3.26-3.28
In 0.0000 0.5000 0.5000  8 In 3.25-3.27, 4 Pu 3.27
In 0.0000 0.5000 0.7004  8 In 3.25-3.26, 4 Pu 3.26-3.28
In 0.0000 0.5000 0.8999  2 Pu 3.24, 8 In 3.25-3.27, 2 Tm 3.26
In 0.5000 0.0000 0.1001  2 Pu 3.24, 8 In 3.25-3.27, 2 Tm 3.26
In 0.5000 0.0000 0.2996  8 In 3.25-3.26, 4 Pu 3.26-3.28
In 0.5000 0.0000 0.5000  8 In 3.25-3.27, 4 Pu 3.27
In 0.5000 0.0000 0.7004  8 In 3.25-3.26, 4 Pu 3.26-3.28
In 0.5000 0.0000 0.8999  2 Pu 3.24, 8 In 3.25-3.27, 2 Tm 3.26
In 0.5000 0.5000 0.0000  4 Tm 3.25, 8 In 3.26
In 0.5000 0.5000 0.2005  8 In 3.25-3.27, 4 Pu 3.25
In 0.5000 0.5000 0.3997  4 Pu 3.25, 8 In 3.26-3.27
In 0.5000 0.5000 0.6003  4 Pu 3.25, 8 In 3.26-3.27
In 0.5000 0.5000 0.7995  8 In 3.25-3.27, 4 Pu 3.25

## Properties
Its energy relative to the elements is 0.215 eV/atom. The volume comes out at 489.2 Å³ per cell. As for the crystal system: tetragonal. As for the density of states at the Fermi level: 2.407 states/eV/atom. Its electronic total energy is -4.93 eV/atom.

[5]
First-principles (PBE) data for a relaxed structure of SrTl2AgRh, as listed in Alexandria.

abc: 5.1895 5.1895 5.3643
angles: 90.00 90.00 90.00
Closest atoms and distances in Å follow each position.
Atoms (fractional coordinates):
Sr 0.0000 0.0000 0.0000  4 Ag 3.67, 8 Tl 3.73
Tl 0.0000 0.5000 0.5000  2 Rh 2.59
Tl 0.5000 0.0000 0.5000  2 Rh 2.59
Ag 0.5000 0.5000 0.0000  2 Rh 2.68
Rh 0.5000 0.5000 0.5000  4 Tl 2.59, 2 Ag 2.68

## Properties
Its energy relative to the elements is -0.059 eV/atom. The volume comes out at 144.5 Å³ per cell. As for the crystal system: tetragonal. As for the density of states at the Fermi level: 0.462 states/eV/atom. For the energy above the most stable polymorph in this dataset, the calculation gives 0 meV/atom. Its electronic total energy is -3.38 eV/atom.

[6]
First-principles (PBE) data for a relaxed structure of TbSc4Pt5, as listed in Alexandria.

abc: 3.2910 3.2910 17.1915
angles: 90.00 90.00 90.00
Closest atoms and distances in Å follow each position.
Atoms (fractional coordinates):
Tb 0.0000 0.0000 0.0000  8 Pt 3.06, 4 Tb 3.29
Sc 0.0000 0.0000 0.2075  8 Pt 2.81-2.88
Sc 0.0000 0.0000 0.4028  8 Pt 2.86-2.87
Sc 0.0000 0.0000 0.5972  8 Pt 2.86-2.87
Sc 0.0000 0.0000 0.7925  8 Pt 2.81-2.88
Pt 0.5000 0.5000 0.1158  4 Sc 2.81, 4 Tb 3.06
Pt 0.5000 0.5000 0.3065  8 Sc 2.86-2.88
Pt 0.5000 0.5000 0.5000  8 Sc 2.87
Pt 0.5000 0.5000 0.6935  8 Sc 2.86-2.88
Pt 0.5000 0.5000 0.8842  4 Sc 2.81, 4 Tb 3.06

## Properties
Its energy relative to the elements is -1.225 eV/atom. The volume comes out at 186.2 Å³ per cell. As for the crystal system: tetragonal. As for the density of states at the Fermi level: 0.574 states/eV/atom. Its electronic total energy is -7.24 eV/atom.

[7]
First-principles (PBE) data for a relaxed structure of Ga2Co2Bi, as listed in Alexandria.

abc: 7.4351 7.4351 2.8781
angles: 90.00 90.00 90.00
Closest atoms and distances in Å follow each position.
Atoms (fractional coordinates):
Ga 0.1276 0.3724 0.0000  6 Co 2.59-2.66, 3 Ga 2.68-2.88
Ga 0.3724 0.8724 0.0000  6 Co 2.59-2.66, 3 Ga 2.68-2.88
Ga 0.6276 0.1276 0.0000  6 Co 2.59-2.66, 3 Ga 2.68-2.88
Ga 0.8724 0.6276 0.0000  6 Co 2.59-2.66, 3 Ga 2.68-2.88
Co 0.1595 0.6595 0.5000  6 Ga 2.59-2.66, 2 Co 2.88
Co 0.3405 0.1595 0.5000  6 Ga 2.59-2.66, 2 Co 2.88
Co 0.6595 0.8405 0.5000  6 Ga 2.59-2.66, 2 Co 2.88
Co 0.8405 0.3405 0.5000  6 Ga 2.59-2.66, 2 Co 2.88
Bi 0.0000 0.0000 0.0000  2 Bi 2.88, 4 Ga 2.93, 8 Co 3.14
Bi 0.5000 0.5000 0.0000  2 Bi 2.88, 4 Ga 2.93, 8 Co 3.14

## Properties
Its energy relative to the elements is 0.182 eV/atom. The volume comes out at 159.1 Å³ per cell. As for the crystal system: tetragonal. As for the density of states at the Fermi level: 0.750 states/eV/atom. For the energy above the most stable polymorph in this dataset, the calculation gives 136 meV/atom. Its electronic total energy is -4.65 eV/atom.

[8]
First-principles (PBE) data for a relaxed structure of YCd2Mo, as listed in Alexandria.

abc: 4.1910 4.1910 21.5157
angles: 90.00 90.00 90.00
Closest atoms and distances in Å follow each position.
Atoms (fractional coordinates):
Y 0.0000 0.0000 0.0000  4 Mo 2.96, 4 Cd 3.11
Y 0.0000 0.5000 0.2500  4 Mo 2.96, 4 Cd 3.11
Y 0.5000 0.0000 0.7500  4 Mo 2.96, 4 Cd 3.11
Y 0.5000 0.5000 0.5000  4 Mo 2.96, 4 Cd 3.11
Cd 0.2225 0.2500 0.6250  4 Cd 2.81-3.13, 2 Mo 3.03, 2 Y 3.11
Cd 0.2500 0.7225 0.8750  4 Cd 2.81-3.13, 2 Mo 3.03, 2 Y 3.11
Cd 0.2500 0.7775 0.3750  4 Cd 2.81-3.13, 2 Mo 3.03, 2 Y 3.11
Cd 0.2775 0.2500 0.1250  4 Cd 2.81-3.13, 2 Mo 3.03, 2 Y 3.11
Cd 0.7225 0.7500 0.1250  4 Cd 2.81-3.13, 2 Mo 3.03, 2 Y 3.11
Cd 0.7500 0.2225 0.3750  4 Cd 2.81-3.13, 2 Mo 3.03, 2 Y 3.11
Cd 0.7500 0.2775 0.8750  4 Cd 2.81-3.13, 2 Mo 3.03, 2 Y 3.11
Cd 0.7775 0.7500 0.6250  4 Cd 2.81-3.13, 2 Mo 3.03, 2 Y 3.11
Mo 0.0000 0.0000 0.5000  4 Y 2.96, 4 Cd 3.03
Mo 0.0000 0.5000 0.7500  4 Y 2.96, 4 Cd 3.03
Mo 0.5000 0.0000 0.2500  4 Y 2.96, 4 Cd 3.03
Mo 0.5000 0.5000 0.0000  4 Y 2.96, 4 Cd 3.03

## Properties
Its energy relative to the elements is 0.603 eV/atom. The volume comes out at 377.9 Å³ per cell. As for the crystal system: tetragonal. As for the density of states at the Fermi level: 0.816 states/eV/atom. For the energy above the most stable polymorph in this dataset, the calculation gives 406 meV/atom. Its electronic total energy is -4.18 eV/atom.

[9]
First-principles (PBE) data for a relaxed structure of Ce2ThSnN5, as listed in Alexandria.

abc: 7.2757 7.2757 11.6197
angles: 90.00 90.00 151.37
Closest atoms and distances in Å follow each position.
Atoms (fractional coordinates):
Ce 0.1360 0.8640 0.5046  3 N 2.24-2.36
Ce 0.1360 0.8640 0.9954  3 N 2.24-2.36
Ce 0.8640 0.1360 0.0046  3 N 2.24-2.36
Ce 0.8640 0.1360 0.4954  3 N 2.24-2.36
Th 0.2690 0.7310 0.7500  7 N 2.50-2.55
Th 0.7310 0.2690 0.2500  7 N 2.50-2.55
Sn 0.4902 0.5098 0.2500  4 N 2.11-2.12
Sn 0.5098 0.4902 0.7500  4 N 2.11-2.12
N 0.0889 0.9111 0.7500  2 Sn 2.12
N 0.2658 0.7342 0.1064  1 Ce 2.24, 2 Th 2.50
N 0.2658 0.7342 0.3936  1 Ce 2.24, 2 Th 2.50
N 0.4109 0.5891 0.6137  1 Sn 2.11, 2 Ce 2.36
N 0.4109 0.5891 0.8863  1 Sn 2.11, 2 Ce 2.36
N 0.5891 0.4109 0.1137  1 Sn 2.11, 2 Ce 2.36
N 0.5891 0.4109 0.3863  1 Sn 2.11, 2 Ce 2.36
N 0.7342 0.2658 0.6064  1 Ce 2.24, 2 Th 2.50
N 0.7342 0.2658 0.8936  1 Ce 2.24, 2 Th 2.50
N 0.9111 0.0889 0.2500  2 Sn 2.12

## Properties
As for the energy relative to the elements, uncorrected: -9.1 eV per formula unit. The volume comes out at 294.7 Å³ per cell. As for the crystal system: orthorhombic. As for the density of states at the Fermi level: 0.681 states/eV/atom. Its electronic total energy is -8.22 eV/atom.

[10]
First-principles (PBE) data for a relaxed structure of YAuSe2, as listed in Alexandria.

abc: 7.5243 7.5243 16.7883
angles: 96.38 96.38 115.40
Closest atoms and distances in Å follow each position.
Atoms (fractional coordinates):
Y 0.0695 0.7966 0.5537  5 Se 2.81-2.94
Y 0.1955 0.3888 0.6792  6 Se 2.79-2.96
Y 0.2034 0.9305 0.9463  5 Se 2.81-2.94
Y 0.3888 0.1955 0.1792  6 Se 2.79-2.96
Y 0.6112 0.8045 0.8208  6 Se 2.79-2.96
Y 0.7966 0.0695 0.0537  5 Se 2.81-2.94
Y 0.8045 0.6112 0.3208  6 Se 2.79-2.96
Y 0.9305 0.2034 0.4463  5 Se 2.81-2.94
Au 0.0050 0.7480 0.0981  4 Se 2.57-2.77
Au 0.0459 0.3147 0.2433  3 Se 2.58-2.68
Au 0.2520 0.9950 0.4019  4 Se 2.57-2.77
Au 0.3147 0.0459 0.7433  3 Se 2.58-2.68
Au 0.6853 0.9541 0.2567  3 Se 2.58-2.68
Au 0.7480 0.0050 0.5981  4 Se 2.57-2.77
Au 0.9541 0.6853 0.7567  3 Se 2.58-2.68
Au 0.9950 0.2520 0.9019  4 Se 2.57-2.77
Se 0.0403 0.9597 0.2500  4 Au 2.67-2.77, 2 Y 2.93
Se 0.1455 0.6120 0.4153  1 Au 2.68, 3 Y 2.81-2.94
Se 0.1919 0.5834 0.8416  2 Au 2.58-2.68
Se 0.2108 0.2789 0.0369  1 Au 2.57, 2 Y 2.86-2.87
Se 0.2789 0.2108 0.5369  1 Au 2.57, 2 Y 2.86-2.87
Se 0.3880 0.8545 0.0847  1 Au 2.68, 3 Y 2.81-2.94
Se 0.4166 0.8081 0.6584  2 Au 2.58-2.68
Se 0.4312 0.5688 0.2500  2 Au 2.68, 2 Y 2.79
Se 0.5688 0.4312 0.7500  2 Au 2.68, 2 Y 2.79
Se 0.5834 0.1919 0.3416  2 Au 2.58-2.68
Se 0.6120 0.1455 0.9153  1 Au 2.68, 3 Y 2.81-2.94
Se 0.7211 0.7892 0.4631  1 Au 2.57, 2 Y 2.86-2.87
Se 0.7892 0.7211 0.9631  1 Au 2.57, 2 Y 2.86-2.87
Se 0.8081 0.4166 0.1584  2 Au 2.58-2.68
Se 0.8545 0.3880 0.5847  1 Au 2.68, 3 Y 2.81-2.94
Se 0.9597 0.0403 0.7500  4 Au 2.67-2.77, 2 Y 2.93

## Properties
As for the energy relative to the elements, uncorrected: -4.2 eV per formula unit. The volume comes out at 839.9 Å³ per cell. As for the crystal system: monoclinic. As for the density of states at the Fermi level: 0.000 states/eV/atom. Its electronic total energy is -5.22 eV/atom.